# 1
! PBE Hf3N4, relaxed; values from VASP
&SYSTEM
  ibrav = 0, nat = 7, ntyp = 2
/
ATOMIC_SPECIES
Hf 178.49 Hf.upf
N 14.01 N.upf
ATOMIC_POSITIONS crystal
Hf 0.500 0.500 0.000
Hf 0.272 0.272 0.273
Hf 0.728 0.728 0.727
N 0.880 0.880 0.110
N 0.654 0.654 0.340
N 0.346 0.346 0.660
N 0.120 0.120 0.890
CELL_PARAMETERS angstrom
-0.302 1.183 5.381
-3.269 0.486 4.419
1.345 -5.458 -0.190
! spin magnetization: 0.00 μB/atom
! distance to the lowest polymorph of the same formula: 0.000 eV/atom
! space group: C2/m (12)
! calculated total energy: -10.7050 eV/atom

=====

# 2
! PBE Hf2N, relaxed; values from VASP
&SYSTEM
  ibrav = 0, nat = 6, ntyp = 2
/
ATOMIC_SPECIES
Hf 178.49 Hf.upf
N 14.01 N.upf
ATOMIC_POSITIONS crystal
Hf 0.232 0.324 0.000
Hf 0.768 0.676 0.000
Hf 0.732 0.176 0.500
Hf 0.268 0.824 0.500
N 0.500 0.000 0.000
N 0.000 0.500 0.500
CELL_PARAMETERS angstrom
-3.291 -3.503 1.958
-1.975 -0.961 -5.041
2.211 -2.314 -0.425
! spin magnetization: 0.00 μB/atom
! space group: Pnnm (58)
! calculated total energy: -10.6660 eV/atom

=====

# 3
! PBE Hf3N4, relaxed; values from VASP
&SYSTEM
  ibrav = 0, nat = 28, ntyp = 2
/
ATOMIC_SPECIES
Hf 178.49 Hf.upf
N 14.01 N.upf
ATOMIC_POSITIONS crystal
Hf 0.107 0.750 0.093
Hf 0.431 0.250 0.124
Hf 0.728 0.750 0.147
Hf 0.228 0.750 0.353
Hf 0.931 0.250 0.376
Hf 0.607 0.750 0.407
Hf 0.393 0.250 0.593
Hf 0.069 0.750 0.624
Hf 0.772 0.250 0.647
Hf 0.272 0.250 0.853
Hf 0.569 0.750 0.876
Hf 0.893 0.250 0.907
N 0.642 0.250 0.018
N 0.897 0.750 0.030
N 0.237 0.250 0.214
N 0.508 0.750 0.225
N 0.008 0.750 0.275
N 0.737 0.250 0.286
N 0.397 0.750 0.470
N 0.142 0.250 0.482
N 0.858 0.750 0.518
N 0.603 0.250 0.530
N 0.263 0.750 0.714
N 0.992 0.250 0.725
N 0.492 0.250 0.775
N 0.763 0.750 0.786
N 0.103 0.250 0.970
N 0.358 0.750 0.983
CELL_PARAMETERS angstrom
-0.207 -9.653 1.287
0.560 -0.433 -3.156
10.517 0.023 1.865
! spin magnetization: 0.00 μB/atom
! distance to the lowest polymorph of the same formula: 0.012 eV/atom
! space group: Pnma (62)
! calculated total energy: -10.6929 eV/atom

=====

# 4
! PBE Hf6N, relaxed; values from VASP
&SYSTEM
  ibrav = 0, nat = 14, ntyp = 2
/
ATOMIC_SPECIES
Hf 178.49 Hf.upf
N 14.01 N.upf
ATOMIC_POSITIONS crystal
Hf 0.333 0.340 0.122
Hf 0.006 0.667 0.122
Hf 0.660 0.993 0.122
Hf 0.007 0.340 0.378
Hf 0.660 0.667 0.378
Hf 0.333 0.993 0.378
Hf 0.667 0.006 0.622
Hf 0.340 0.333 0.622
Hf 0.993 0.660 0.622
Hf 0.340 0.006 0.878
Hf 0.993 0.333 0.878
Hf 0.667 0.660 0.878
N 0.333 0.667 0.250
N 0.667 0.333 0.750
CELL_PARAMETERS angstrom
5.564 0.000 0.000
-2.782 4.818 0.000
0.000 0.000 10.249
! spin magnetization: 0.00 μB/atom
! space group: P-31c (163)
! calculated total energy: -10.2858 eV/atom